1.
DFT (PBE) results for a relaxed structure of Zr2AlTe.

The value obtained for the volume is 280 Å³/cell. The uncorrected formation energy is -0.404 eV/atom. The density of states at the Fermi level comes out at 7.14 states/eV/cell. The calculation puts the energy above the most stable polymorph in this dataset at 43 meV per atom.

The space group is R-3m (No. 166, hexagonal axes) and the conventional cell measures 3.9600, 3.9600 and 20.6484 Å, with angles of 90.00, 90.00 and 120.00 degrees. The asymmetric unit holds Zr at (0.0000, 0.0000, 0.2414), Al at (0.0000, 0.0000, 0.5000) and Te at (0.0000, 0.0000, 0.0000).



2.
DFT (PBE) results for a relaxed structure of Zr2AlTe.

The value obtained for the volume is 89 Å³/cell. The uncorrected formation energy is -0.419 eV/atom. The density of states at the Fermi level comes out at 4.00 states/eV/cell. The calculation puts the energy above the most stable polymorph in this dataset at 28 meV per atom.

The space group is P4mm (No. 99) and the conventional cell measures 3.852, 3.852 and 5.965 Å, with angles of 90.00, 90.00 and 90.00 degrees. The asymmetric unit holds Zr at (0.000, 0.000, 0.000), Zr at (0.500, 0.500, 0.286), Al at (0.000, 0.000, 0.472) and Te at (0.500, 0.500, 0.785).



3.
DFT (PBE) results for a relaxed structure of ZrAlTe2.

The value obtained for the volume is 190 Å³/cell. The uncorrected formation energy is -0.118 eV/atom. The density of states at the Fermi level comes out at 6.57 states/eV/cell.

The space group is I-4m2 (No. 119) and the conventional cell measures 4.269, 4.269 and 10.436 Å, with angles of 90.00, 90.00 and 90.00 degrees. The asymmetric unit holds Zr at (0.000, 0.000, 0.000), Al at (0.000, 0.500, 0.750), Te at (0.000, 0.000, 0.500) and Te at (0.000, 0.500, 0.250).



4.
DFT (PBE) results for a relaxed structure of Zr3AlTe.

The value obtained for the volume is 128 Å³/cell. The uncorrected formation energy is 0.401 eV/atom. The density of states at the Fermi level comes out at 4.15 states/eV/cell. The calculation puts the energy above the most stable polymorph in this dataset at 0 meV per atom.

The space group is Pm-3m (No. 221) and the conventional cell measures 5.034, 5.034 and 5.034 Å, with angles of 90.00, 90.00 and 90.00 degrees. The asymmetric unit holds Zr at (0.000, 0.000, 0.500), Al at (0.000, 0.000, 0.000) and Te at (0.500, 0.500, 0.500).



5.
DFT (PBE) results for a relaxed structure of ZrAlTe2.

The value obtained for the volume is 540 Å³/cell. The uncorrected formation energy is -0.059 eV/atom. The density of states at the Fermi level comes out at 13.32 states/eV/cell.

The space group is I-42d (No. 122) and the conventional cell measures 6.669, 6.669 and 12.140 Å, with angles of 90.00, 90.00 and 90.00 degrees. The asymmetric unit holds Zr at (0.000, 0.000, 0.000), Al at (0.000, 0.000, 0.500) and Te at (0.240, 0.250, 0.625).



6.
DFT (PBE) results for a relaxed structure of ZrAlTe.

The value obtained for the volume is 267 Å³/cell. The uncorrected formation energy is -0.599 eV/atom. The density of states at the Fermi level comes out at 5.03 states/eV/cell.

The space group is I4/mmm (No. 139) and the conventional cell measures 3.936, 3.936 and 17.234 Å, with angles of 90.00, 90.00 and 90.00 degrees. The asymmetric unit holds Zr at (0.000, 0.000, 0.126), Al at (0.000, 0.500, 0.000) and Te at (0.000, 0.000, 0.313).



- Among the records above, which one has the highest density of states at the Fermi level?
  number 5



Repeat the third record exactly.
DFT (PBE) results for a relaxed structure of ZrAlTe2.

The value obtained for the volume is 190 Å³/cell. The uncorrected formation energy is -0.118 eV/atom. The density of states at the Fermi level comes out at 6.57 states/eV/cell.

The space group is I-4m2 (No. 119) and the conventional cell measures 4.269, 4.269 and 10.436 Å, with angles of 90.00, 90.00 and 90.00 degrees. The asymmetric unit holds Zr at (0.000, 0.000, 0.000), Al at (0.000, 0.500, 0.750), Te at (0.000, 0.000, 0.500) and Te at (0.000, 0.500, 0.250).



- The lowest density of states at the Fermi level belongs to which entry?
  number 2